Tl5V3F12: relaxed, PBE+U.

Calculated values
N(E_F) ... 7.332 states/eV/cell
Magnetization ... 8.00 μB/cell
Uncorrected energy ... -5.087 eV/atom

Geometry as CIF:
```
data_Tl5V3F12
_chemical_formula_sum 'Tl5 V3 F12'
_cell_length_a 11.2530
_cell_length_b 11.2530
_cell_length_c 3.3653
_cell_angle_alpha 90.00
_cell_angle_beta 90.00
_cell_angle_gamma 120.00
_space_group_name_H-M_alt 'P -6 2 m'
_space_group_IT_number 189
_space_group_name_Hall 'P -6 -2'
loop_
_atom_site_label
_atom_site_type_symbol
_atom_site_fract_x
_atom_site_fract_y
_atom_site_fract_z
Tl1 Tl 0.0000 0.2856 0.0000
Tl2 Tl 0.3333 0.6667 0.0000
V1 V 0.0000 0.6604 0.5000
F1 F 0.0000 0.5441 0.0000
F2 F 0.0000 0.7760 0.0000
F3 F 0.2096 0.7734 0.5000
```